[1]
VASP calculation (PBE-GGA) on a relaxed CsGePS2 crystal.

a b c (Å): 5.328 5.328 5.698
angles (deg): 90.00 90.00 90.00
Each line ends with the local moment (μB).
Fractional positions:
Cs 0.000 0.000 0.000  -0.01
P 0.000 0.000 0.500  0.27
Ge 0.500 0.500 0.500  -0.07
S 0.000 0.500 0.000  0.08
S 0.500 0.000 0.000  0.08

Properties
VASP energy (eV for the cell shown): -11.08
Spin magnetization (Bohr magnetons per cell): 0.7
Space group: P4/mmm, No. 123

---

[2]
VASP calculation (PBE-GGA) on a relaxed CsGePS2 crystal.

a b c (Å): 5.097 5.097 4.874
angles (deg): 90.00 90.00 90.00
Each line ends with the local moment (μB).
Fractional positions:
Cs 0.500 0.500 0.500  0.02
P 0.000 0.000 0.500  0.39
Ge 0.000 0.000 0.000  -0.01
S 0.000 0.500 0.000  0.06
S 0.500 0.000 0.000  0.06

Properties
VASP energy (eV for the cell shown): -18.56
Spin magnetization (Bohr magnetons per cell): 1.0
Space group: P4/mmm, No. 123

---

Among the records above, which one has the highest spin magnetization?
number 2

---

Look up the spin magnetization of the first one.
0.7 Bohr magnetons per cell

---

Repeat the second record exactly.
VASP calculation (PBE-GGA) on a relaxed CsGePS2 crystal.

a b c (Å): 5.097 5.097 4.874
angles (deg): 90.00 90.00 90.00
Each line ends with the local moment (μB).
Fractional positions:
Cs 0.500 0.500 0.500  0.02
P 0.000 0.000 0.500  0.39
Ge 0.000 0.000 0.000  -0.01
S 0.000 0.500 0.000  0.06
S 0.500 0.000 0.000  0.06

Properties
VASP energy (eV for the cell shown): -18.56
Spin magnetization (Bohr magnetons per cell): 1.0
Space group: P4/mmm, No. 123

---

Look up the spin magnetization of the second one.
1.0 Bohr magnetons per cell